No. 1
The following is a SCAN calculation of Sr2HoRuO6 at its PBEsol-relaxed geometry, from Alexandria via LeMat-Bulk.

POSCAR file:
```
Sr2HoRuO6
1.0
5.725 0.000 0.001
0.000 5.771 0.000
0.053 0.000 8.112
Sr Ho Ru O
4 2 2 12
Direct
0.992 0.035 0.249
0.508 0.535 0.251
0.492 0.465 0.749
0.008 0.965 0.751
0.000 0.500 0.500
0.500 0.000 0.000
0.500 0.000 0.500
0.000 0.500 0.000
0.572 0.017 0.734
0.928 0.517 0.766
0.428 0.983 0.266
0.072 0.483 0.234
0.302 0.729 0.539
0.198 0.229 0.961
0.698 0.271 0.461
0.802 0.771 0.039
0.731 0.299 0.037
0.769 0.799 0.463
0.269 0.701 0.963
0.231 0.201 0.537
```

Values from the calculation:
As for the uncorrected formation energy: -27.8 eV/f.u. For the total energy, the calculation gives -193.5 eV per formula unit.

***

No. 2
The following is a SCAN calculation of Ho2SO2 at its PBEsol-relaxed geometry, from Alexandria via LeMat-Bulk.

POSCAR file:
```
Ho2SO2
1.0
-2.898 1.125 2.073
1.972 -3.006 1.020
3.964 3.783 3.488
S Ho O
1 2 2
Direct
0.000 0.000 0.000
0.333 0.667 0.282
0.667 0.333 0.718
0.333 0.667 0.630
0.667 0.333 0.370
```

Values from the calculation:
As for the uncorrected formation energy: -17.8 eV/f.u. For the total energy, the calculation gives -137.9 eV per formula unit.

***

No. 3
The following is a SCAN calculation of Ho2SO2 at its PBEsol-relaxed geometry, from Alexandria via LeMat-Bulk.

POSCAR file:
```
Ho2SO2
1.0
3.727 0.000 0.000
-1.863 3.227 0.000
0.000 0.000 13.125
S Ho O
2 4 4
Direct
0.000 0.000 0.250
0.000 0.000 0.750
0.333 0.667 0.608
0.333 0.667 0.892
0.667 0.333 0.108
0.667 0.333 0.392
0.333 0.667 0.435
0.333 0.667 0.065
0.667 0.333 0.565
0.667 0.333 0.935
```

Values from the calculation:
As for the uncorrected formation energy: -17.8 eV/f.u. For the total energy, the calculation gives -137.8 eV per formula unit.

***

No. 4
The following is a SCAN calculation of Ho3Sb5O12 at its PBEsol-relaxed geometry, from Alexandria via LeMat-Bulk.

POSCAR file:
```
Ho3Sb5O12
1.0
9.236 0.000 0.000
-3.079 8.708 0.000
-3.079 -4.354 7.541
Ho Sb O
6 10 24
Direct
0.250 0.750 0.500
0.250 0.500 0.750
0.500 0.250 0.750
0.500 0.750 0.250
0.750 0.250 0.500
0.750 0.500 0.250
0.480 0.480 0.480
0.721 0.000 0.721
0.721 0.721 0.000
0.279 0.000 0.279
0.279 0.279 0.000
0.000 0.000 0.520
0.000 0.520 0.000
0.520 0.000 0.000
0.000 0.279 0.279
0.000 0.721 0.721
0.520 0.723 0.520
0.520 0.520 0.723
0.293 0.293 0.795
0.293 0.795 0.293
0.205 0.498 0.498
0.502 0.707 0.000
0.502 0.000 0.707
0.498 0.498 0.205
0.498 0.205 0.498
0.277 0.797 0.797
0.203 0.000 0.480
0.203 0.480 0.000
0.797 0.797 0.277
0.797 0.277 0.797
0.480 0.000 0.203
0.480 0.203 0.000
0.000 0.203 0.480
0.000 0.480 0.203
0.707 0.000 0.502
0.707 0.502 0.000
0.795 0.293 0.293
0.000 0.502 0.707
0.000 0.707 0.502
0.723 0.520 0.520
```

Values from the calculation:
As for the uncorrected formation energy: -48.6 eV/f.u. For the total energy, the calculation gives -456.7 eV per formula unit.